[1]
# BaTbHf, optimized geometry, DFT PBE
# **Raw total energy**: -4.10 eV per atom
data_BaTbHf
_chemical_formula_sum 'Ba4 Tb4 Hf4'
_cell_length_a 7.4684
_cell_length_b 7.4684
_cell_length_c 7.4684
_cell_angle_alpha 90.00
_cell_angle_beta 90.00
_cell_angle_gamma 90.00
_space_group_name_H-M_alt 'F -4 3 m'
_space_group_IT_number 216
_space_group_name_Hall 'F -4 2 3'
loop_
_atom_site_label
_atom_site_type_symbol
_atom_site_fract_x
_atom_site_fract_y
_atom_site_fract_z
Ba1 Ba 0.0000 0.0000 0.0000
Tb1 Tb 0.2500 0.2500 0.2500
Hf1 Hf 0.2500 0.2500 0.7500

***

[2]
# BeFeOsPb, optimized geometry, DFT PBE
# **Raw total energy**: -6.04 eV per atom
# **Offset from the most stable computed form**: 0.000 eV per atom
data_BeFeOsPb
_chemical_formula_sum 'Be4 Fe4 Os4 Pb4'
_cell_length_a 6.1582
_cell_length_b 6.1582
_cell_length_c 6.1582
_cell_angle_alpha 90.00
_cell_angle_beta 90.00
_cell_angle_gamma 90.00
_space_group_name_H-M_alt 'F -4 3 m'
_space_group_IT_number 216
_space_group_name_Hall 'F -4 2 3'
loop_
_atom_site_label
_atom_site_type_symbol
_atom_site_fract_x
_atom_site_fract_y
_atom_site_fract_z
Be1 Be 0.0000 0.0000 0.0000
Fe1 Fe 0.0000 0.0000 0.5000
Os1 Os 0.2500 0.2500 0.7500
Pb1 Pb 0.2500 0.2500 0.2500

***

[3]
# W2C, optimized geometry, DFT PBE
# **Raw total energy**: -11.73 eV per atom
data_W2C
_chemical_formula_sum 'W4 C2'
_cell_length_a 4.7253
_cell_length_b 5.2767
_cell_length_c 3.0398
_cell_angle_alpha 90.00
_cell_angle_beta 90.00
_cell_angle_gamma 90.00
_space_group_name_H-M_alt 'P n n m'
_space_group_IT_number 58
_space_group_name_Hall '-P 2 2n'
loop_
_atom_site_label
_atom_site_type_symbol
_atom_site_fract_x
_atom_site_fract_y
_atom_site_fract_z
W1 W 0.2404 0.1576 0.0000
C1 C 0.0000 0.5000 0.0000

***

[4]
# YNbCuAs, optimized geometry, DFT PBE
# **Raw total energy**: -5.79 eV per atom
# **Offset from the most stable computed form**: 0.145 eV per atom
data_YNbCuAs
_chemical_formula_sum 'Y4 Nb4 Cu4 As4'
_cell_length_a 6.7820
_cell_length_b 6.7820
_cell_length_c 6.7820
_cell_angle_alpha 90.00
_cell_angle_beta 90.00
_cell_angle_gamma 90.00
_space_group_name_H-M_alt 'F -4 3 m'
_space_group_IT_number 216
_space_group_name_Hall 'F -4 2 3'
loop_
_atom_site_label
_atom_site_type_symbol
_atom_site_fract_x
_atom_site_fract_y
_atom_site_fract_z
Y1 Y 0.0000 0.0000 0.0000
Nb1 Nb 0.2500 0.2500 0.7500
Cu1 Cu 0.0000 0.0000 0.5000
As1 As 0.2500 0.2500 0.2500

***

[5]
# ThTcB4, optimized geometry, DFT PBE
# **Raw total energy**: -7.69 eV per atom
# **Offset from the most stable computed form**: 0.000 eV per atom
data_ThTcB4
_chemical_formula_sum 'Th1 Tc1 B4'
_cell_length_a 3.1899
_cell_length_b 3.1899
_cell_length_c 7.2775
_cell_angle_alpha 90.00
_cell_angle_beta 90.00
_cell_angle_gamma 120.00
_space_group_name_H-M_alt 'P 6/m m m'
_space_group_IT_number 191
_space_group_name_Hall '-P 6 2'
loop_
_atom_site_label
_atom_site_type_symbol
_atom_site_fract_x
_atom_site_fract_y
_atom_site_fract_z
Th1 Th 0.0000 0.0000 0.0000
Tc1 Tc 0.0000 0.0000 0.5000
B1 B 0.3333 0.6667 0.2877

***

[6]
# Na4CdCuGe2, optimized geometry, DFT PBE
# **Raw total energy**: -2.40 eV per atom
data_Na4CdCuGe2
_chemical_formula_sum 'Na4 Cd1 Cu1 Ge2'
_cell_length_a 4.8104
_cell_length_b 4.8104
_cell_length_c 6.9080
_cell_angle_alpha 90.00
_cell_angle_beta 90.00
_cell_angle_gamma 90.00
_space_group_name_H-M_alt 'P -4 m 2'
_space_group_IT_number 115
_space_group_name_Hall 'P -4 -2'
loop_
_atom_site_label
_atom_site_type_symbol
_atom_site_fract_x
_atom_site_fract_y
_atom_site_fract_z
Na1 Na 0.0000 0.0000 0.0000
Na2 Na 0.0000 0.5000 0.7323
Na3 Na 0.5000 0.5000 0.5000
Cd1 Cd 0.5000 0.5000 0.0000
Cu1 Cu 0.0000 0.0000 0.5000
Ge1 Ge 0.0000 0.5000 0.2642

***

> Look up the raw total energy of the third one.

-11.73 eV per atom